Below is a geometry-optimized Ca2MnCr structure, with properties calculated at the PBE-GGA level.

The space group is Imm2 (No. 44) and the conventional cell measures 3.877, 5.368 and 9.651 Å, with angles of 90.00, 90.00 and 90.00 degrees. The asymmetric unit holds Ca at (0.000, 0.000, 0.000), Ca at (0.000, 0.500, 0.202), Mn at (0.000, 0.000, 0.423) and Cr at (0.000, 0.500, 0.784).

The theoretical density is 3.1 g/cm3. The value obtained for the total DFT energy (no corrections) is -5.278 eV per atom. The density of states at the Fermi level is 2.80 states/eV/f.u. The calculation puts the formation energy at 0.4207 eV per atom.